Entry 1:
# TlAg2 PBEsol optimized geometry
# Energy relative to the lowest polymorph listed for this composition ... 11 meV per atom
# Calculated volume ... 60.39 Å³/f.u.
data_TlAg2
_space_group_name_H-M_alt 'P 63/m m c'
_space_group_IT_number 194
_space_group_name_Hall '-P 6c 2c'
_cell_length_a 5.5740
_cell_length_b 5.5740
_cell_length_c 17.9550
_cell_angle_alpha 90.00
_cell_angle_beta 90.00
_cell_angle_gamma 120.00
loop_
_atom_site_label
_atom_site_fract_x
_atom_site_fract_y
_atom_site_fract_z
Tl1 0.0000 0.0000 0.0945
Tl2 0.3333 0.6667 0.1570
Ag1 0.0000 0.5000 0.0000
Ag2 0.1644 0.3287 0.7500
Ag3 0.3333 0.6667 0.6250



Entry 2:
# Tl3Ag PBEsol optimized geometry
# Energy relative to the lowest polymorph listed for this composition ... 24 meV per atom
# Calculated volume ... 99.64 Å³/f.u.
data_Tl3Ag
_space_group_name_H-M_alt 'R -3 m'
_space_group_IT_number 166
_space_group_name_Hall '-R 3 2"'
_cell_length_a 3.3577
_cell_length_b 3.3577
_cell_length_c 30.6136
_cell_angle_alpha 90.00
_cell_angle_beta 90.00
_cell_angle_gamma 120.00
loop_
_atom_site_label
_atom_site_fract_x
_atom_site_fract_y
_atom_site_fract_z
Tl1 0.0000 0.0000 0.0000
Tl2 0.0000 0.0000 0.2412
Ag1 0.0000 0.0000 0.5000



Entry 3:
# Tl3Ag PBEsol optimized geometry
# Energy relative to the lowest polymorph listed for this composition ... 0 meV per atom
# Calculated volume ... 99.16 Å³/f.u.
data_Tl3Ag
_space_group_name_H-M_alt 'P 4/m m m'
_space_group_IT_number 123
_space_group_name_Hall '-P 4 2'
_cell_length_a 3.2993
_cell_length_b 3.2993
_cell_length_c 9.1094
_cell_angle_alpha 90.00
_cell_angle_beta 90.00
_cell_angle_gamma 90.00
loop_
_atom_site_label
_atom_site_fract_x
_atom_site_fract_y
_atom_site_fract_z
Tl1 0.0000 0.0000 0.0000
Tl2 0.5000 0.5000 0.2848
Ag1 0.0000 0.0000 0.5000



Entry 4:
# TlAg5 PBEsol optimized geometry
# Energy relative to the lowest polymorph listed for this composition ... 21 meV per atom
# Calculated volume ... 106.82 Å³/f.u.
data_TlAg5
_space_group_name_H-M_alt 'C 1 m 1'
_space_group_IT_number 8
_cell_length_a 10.7591
_cell_length_b 2.9543
_cell_length_c 6.9808
_cell_angle_alpha 90.00
_cell_angle_beta 105.67
_cell_angle_gamma 90.00
loop_
_space_group_symop_operation_xyz
'x,y,z'
'x,-y,z'
'x+1/2,y+1/2,z'
'x+1/2,-y+1/2,z'
loop_
_atom_site_label
_atom_site_fract_x
_atom_site_fract_y
_atom_site_fract_z
Tl1 0.0000 0.0000 0.0000
Ag1 0.1197 0.5000 0.7192
Ag2 0.1739 0.5000 0.3440
Ag3 0.2778 0.0000 0.0668
Ag4 0.3340 0.0000 0.6584
Ag5 0.4502 0.5000 0.3988



Entry 5:
# Tl3Ag PBEsol optimized geometry
# Energy relative to the lowest polymorph listed for this composition ... 29 meV per atom
# Calculated volume ... 100.22 Å³/f.u.
data_Tl3Ag
_space_group_name_H-M_alt 'I m m m'
_space_group_IT_number 71
_space_group_name_Hall '-I 2 2'
_cell_length_a 3.4360
_cell_length_b 5.3763
_cell_length_c 10.8503
_cell_angle_alpha 90.00
_cell_angle_beta 90.00
_cell_angle_gamma 90.00
loop_
_atom_site_label
_atom_site_fract_x
_atom_site_fract_y
_atom_site_fract_z
Tl1 0.0000 0.0000 0.0000
Tl2 0.0000 0.5000 0.2221
Ag1 0.0000 0.0000 0.5000



Entry 6:
# Tl8Ag PBEsol optimized geometry
# Calculated volume ... 238.80 Å³/f.u.
# VASP energy ... -47.4 eV/cell
data_Tl8Ag
_space_group_name_H-M_alt 'I 4/m m m'
_space_group_IT_number 139
_space_group_name_Hall '-I 4 2'
_cell_length_a 10.4964
_cell_length_b 10.4964
_cell_length_c 4.3350
_cell_angle_alpha 90.00
_cell_angle_beta 90.00
_cell_angle_gamma 90.00
loop_
_atom_site_label
_atom_site_fract_x
_atom_site_fract_y
_atom_site_fract_z
Tl1 0.0000 0.3298 0.0000
Tl2 0.1581 0.1581 0.5000
Ag1 0.0000 0.0000 0.0000



Entry 7:
# Tl5Ag PBEsol optimized geometry
# Energy relative to the lowest polymorph listed for this composition ... 24 meV per atom
# Calculated volume ... 156.44 Å³/f.u.
data_Tl5Ag
_space_group_name_H-M_alt 'P -6 2 m'
_space_group_IT_number 189
_space_group_name_Hall 'P -6 -2'
_cell_length_a 5.9839
_cell_length_b 5.9839
_cell_length_c 5.0450
_cell_angle_alpha 90.00
_cell_angle_beta 90.00
_cell_angle_gamma 120.00
loop_
_atom_site_label
_atom_site_fract_x
_atom_site_fract_y
_atom_site_fract_z
Tl1 0.0000 0.6885 0.0000
Tl2 0.3333 0.6667 0.5000
Ag1 0.0000 0.0000 0.5000



Entry 8:
# Tl5Ag PBEsol optimized geometry
# Energy relative to the lowest polymorph listed for this composition ... 21 meV per atom
# Calculated volume ... 155.97 Å³/f.u.
data_Tl5Ag
_space_group_name_H-M_alt 'A m m 2'
_space_group_IT_number 38
_cell_length_a 5.3181
_cell_length_b 3.5454
_cell_length_c 16.5444
_cell_angle_alpha 90.00
_cell_angle_beta 90.00
_cell_angle_gamma 90.00
loop_
_space_group_symop_operation_xyz
'x,y,z'
'-x,-y,z'
'-x,y,z'
'x,-y,z'
'x,y+1/2,z+1/2'
'-x,-y+1/2,z+1/2'
'-x,y+1/2,z+1/2'
'x,-y+1/2,z+1/2'
loop_
_atom_site_label
_atom_site_fract_x
_atom_site_fract_y
_atom_site_fract_z
Tl1 0.0000 0.0000 0.0000
Tl2 0.0000 0.0000 0.3101
Tl3 0.5000 0.0000 0.1168
Tl4 0.5000 0.0000 0.4435
Tl5 0.5000 0.0000 0.7753
Ag1 0.0000 0.0000 0.6550



Entry 9:
# Tl3Ag PBEsol optimized geometry
# Energy relative to the lowest polymorph listed for this composition ... 32 meV per atom
# Calculated volume ... 100.78 Å³/f.u.
data_Tl3Ag
_space_group_name_H-M_alt 'I m m 2'
_space_group_IT_number 44
_cell_length_a 3.3744
_cell_length_b 9.8292
_cell_length_c 6.0772
_cell_angle_alpha 90.00
_cell_angle_beta 90.00
_cell_angle_gamma 90.00
loop_
_space_group_symop_operation_xyz
'x,y,z'
'-x,-y,z'
'-x,y,z'
'x,-y,z'
'x+1/2,y+1/2,z+1/2'
'-x+1/2,-y+1/2,z+1/2'
'-x+1/2,y+1/2,z+1/2'
'x+1/2,-y+1/2,z+1/2'
loop_
_atom_site_label
_atom_site_fract_x
_atom_site_fract_y
_atom_site_fract_z
Tl1 0.0000 0.0000 0.0000
Tl2 0.0000 0.2139 0.3931
Ag1 0.0000 0.5000 0.0997



Entry 10:
# Tl2Ag PBEsol optimized geometry
# Calculated volume ... 71.57 Å³/f.u.
# VASP energy ... -16.5 eV/cell
data_Tl2Ag
_space_group_name_H-M_alt 'I m m m'
_space_group_IT_number 71
_space_group_name_Hall '-I 2 2'
_cell_length_a 3.2773
_cell_length_b 3.4036
_cell_length_c 12.8326
_cell_angle_alpha 90.00
_cell_angle_beta 90.00
_cell_angle_gamma 90.00
loop_
_atom_site_label
_atom_site_fract_x
_atom_site_fract_y
_atom_site_fract_z
Tl1 0.0000 0.0000 0.1501
Ag1 0.0000 0.0000 0.5000



Entry 11:
# Tl5Ag PBEsol optimized geometry
# Energy relative to the lowest polymorph listed for this composition ... 0 meV per atom
# Calculated volume ... 156.05 Å³/f.u.
data_Tl5Ag
_space_group_name_H-M_alt 'C 1 m 1'
_space_group_IT_number 8
_cell_length_a 12.0482
_cell_length_b 3.4447
_cell_length_c 7.9442
_cell_angle_alpha 90.00
_cell_angle_beta 108.81
_cell_angle_gamma 90.00
loop_
_space_group_symop_operation_xyz
'x,y,z'
'x,-y,z'
'x+1/2,y+1/2,z'
'x+1/2,-y+1/2,z'
loop_
_atom_site_label
_atom_site_fract_x
_atom_site_fract_y
_atom_site_fract_z
Tl1 0.0000 0.0000 0.0000
Tl2 0.0064 0.0000 0.4264
Tl3 0.1542 0.5000 0.7784
Tl4 0.2999 0.0000 0.1333
Tl5 0.3405 0.0000 0.6233
Ag1 0.1775 0.5000 0.3252



Entry 12:
# Tl5Ag24 PBEsol optimized geometry
# Calculated volume ... 527.89 Å³/f.u.
# VASP energy ... -179.4 eV/cell
data_Tl5Ag24
_space_group_name_H-M_alt 'I -4 3 m'
_space_group_IT_number 217
_space_group_name_Hall 'I -4 2 3'
_cell_length_a 10.1826
_cell_length_b 10.1826
_cell_length_c 10.1826
_cell_angle_alpha 90.00
_cell_angle_beta 90.00
_cell_angle_gamma 90.00
loop_
_atom_site_label
_atom_site_fract_x
_atom_site_fract_y
_atom_site_fract_z
Tl1 0.0000 0.0000 0.0000
Tl2 0.1798 0.1798 0.1798
Ag1 0.0486 0.3653 0.6347
Ag2 0.0956 0.0956 0.7115



Taking the records one at a time from the top gives total moment values of 0.00, 0.00, 0.00, 0.00, 0.00, 0.00, 0.00, 0.00, 0.00, 0.00, 0.00, 0.00 μB per formula unit.